Density functional theory data (PBE) for crystalline RbLaBi2C at its relaxed geometry.

Output
Mass density ... 2.85 g/cm³
Energy ... -15.25 eV for the cell shown
Energy of formation ... 1.53 eV/atom

Lattice parameters (Å, degrees): 6.096 6.096 10.254 90.00 90.00 90.00
Space group P4/mmm (No. 123)
Asymmetric unit:
Rb1 0.000 0.000 0.000 (multiplicity 1)
La1 0.000 0.000 0.500 (multiplicity 1)
Bi1 0.000 0.500 0.500 (multiplicity 2)
C1 0.500 0.500 0.000 (multiplicity 1)



Density functional theory data (PBE) for crystalline Ce2CdRh3 at its relaxed geometry.

Output
Mass density ... 9.55 g/cm³
E above lowest polymorph ... 0 meV per atom
Energy ... -152.65 eV for the cell shown
Energy of formation ... -0.55 eV/atom

Lattice parameters (Å, degrees): 11.671 5.667 8.292 90.00 117.14 90.00
Space group C2/c (No. 15)
Asymmetric unit:
Ce1 0.181 0.029 0.094 (multiplicity 8)
Cd1 0.000 0.295 0.250 (multiplicity 4)
Rh1 0.000 0.195 0.750 (multiplicity 4)
Rh2 0.135 0.483 0.589 (multiplicity 8)